Entry 1:
# PBE-GGA Cs2UInS5, relaxed
data_Cs2UInS5
_cell_length_a 4.140
_cell_length_b 20.027
_cell_length_c 15.022
_cell_angle_alpha 90.00
_cell_angle_beta 90.00
_cell_angle_gamma 90.00
_space_group_name_H-M_alt 'C m c 21'
_space_group_IT_number 36
_space_group_name_Hall 'C 2c -2'
loop_
_atom_site_label
_atom_site_type_symbol
_atom_site_fract_x
_atom_site_fract_y
_atom_site_fract_z
_atom_site_occupancy
Cs1 Cs 0.000 0.109 0.000 1
Cs2 Cs 0.000 0.131 0.641 1
U1 U 0.000 0.207 0.347 1
In1 In 0.000 0.433 0.756 1
S1 S 0.000 0.069 0.359 1
S2 S 0.000 0.292 0.957 1
S3 S 0.000 0.305 0.729 1
S4 S 0.000 0.327 0.328 1
S5 S 0.000 0.494 0.623 1
# E_tot in eV/atom: -5.1589
# DOS at the Fermi energy in states/eV per cell: 17.77


Entry 2:
# PBE-GGA Zr3VCr, relaxed
data_Zr3VCr
_cell_length_a 4.824
_cell_length_b 4.824
_cell_length_c 4.824
_cell_angle_alpha 90.00
_cell_angle_beta 90.00
_cell_angle_gamma 90.00
_space_group_name_H-M_alt 'P m -3 m'
_space_group_IT_number 221
_space_group_name_Hall '-P 4 2 3'
loop_
_atom_site_label
_atom_site_type_symbol
_atom_site_fract_x
_atom_site_fract_y
_atom_site_fract_z
_atom_site_occupancy
Zr1 Zr 0.000 0.000 0.500 1
V1 V 0.500 0.500 0.500 1
Cr1 Cr 0.000 0.000 0.000 1
# E_tot in eV/atom: -8.1080
# Polymorph energy (0 for the lowest one) in eV/f.u.: 0.00
# DOS at the Fermi energy in states/eV per cell: 9.21
# E_form in eV per atom: 0.769


Entry 3:
# PBE-GGA PmYZnSi, relaxed
data_PmYZnSi
_cell_length_a 7.143
_cell_length_b 7.143
_cell_length_c 7.143
_cell_angle_alpha 90.00
_cell_angle_beta 90.00
_cell_angle_gamma 90.00
_space_group_name_H-M_alt 'F -4 3 m'
_space_group_IT_number 216
_space_group_name_Hall 'F -4 2 3'
loop_
_atom_site_label
_atom_site_type_symbol
_atom_site_fract_x
_atom_site_fract_y
_atom_site_fract_z
_atom_site_occupancy
Pm1 Pm 0.000 0.000 0.000 1
Y1 Y 0.000 0.000 0.500 1
Zn1 Zn 0.250 0.250 0.750 1
Si1 Si 0.250 0.250 0.250 1
# E_tot in eV/atom: -4.9378
# Polymorph energy (0 for the lowest one) in eV/f.u.: 0.41
# DOS at the Fermi energy in states/eV per cell: 6.83


Entry 4:
# PBE-GGA Nd2PaTl, relaxed
data_Nd2PaTl
_cell_length_a 3.3401
_cell_length_b 3.3401
_cell_length_c 36.7629
_cell_angle_alpha 90.00
_cell_angle_beta 90.00
_cell_angle_gamma 120.00
_space_group_name_H-M_alt 'R -3 m'
_space_group_IT_number 166
_space_group_name_Hall '-R 3 2"'
loop_
_atom_site_label
_atom_site_type_symbol
_atom_site_fract_x
_atom_site_fract_y
_atom_site_fract_z
_atom_site_occupancy
Nd1 Nd 0.0000 0.0000 0.0892 1
Pa1 Pa 0.0000 0.0000 0.0000 1
Tl1 Tl 0.0000 0.0000 0.5000 1
# E_tot in eV/atom: -5.1179
# Polymorph energy (0 for the lowest one) in eV/f.u.: 0.93
# DOS at the Fermi energy in states/eV per cell: 17.79
# E_form in eV per atom: 0.232


Entry 5:
# PBE-GGA CeNd2U2Ru5, relaxed
data_CeNd2U2Ru5
_cell_length_a 10.711
_cell_length_b 10.711
_cell_length_c 3.626
_cell_angle_alpha 90.00
_cell_angle_beta 90.00
_cell_angle_gamma 90.00
_space_group_name_H-M_alt 'P 4/m b m'
_space_group_IT_number 127
_space_group_name_Hall '-P 4 2ab'
loop_
_atom_site_label
_atom_site_type_symbol
_atom_site_fract_x
_atom_site_fract_y
_atom_site_fract_z
_atom_site_occupancy
Ce1 Ce 0.000 0.000 0.000 1
Nd1 Nd 0.176 0.324 0.000 1
U1 U 0.135 0.635 0.000 1
Ru1 Ru 0.000 0.500 0.500 1
Ru2 Ru 0.053 0.791 0.500 1
# E_tot in eV/atom: -8.6693
# DOS at the Fermi energy in states/eV per cell: 18.59
# E_form in eV per atom: -0.227


Entry 6:
# PBE-GGA YEr2PbC, relaxed
data_YEr2PbC
_cell_length_a 4.869
_cell_length_b 4.869
_cell_length_c 4.923
_cell_angle_alpha 90.00
_cell_angle_beta 90.00
_cell_angle_gamma 90.00
_space_group_name_H-M_alt 'P 4/m m m'
_space_group_IT_number 123
_space_group_name_Hall '-P 4 2'
loop_
_atom_site_label
_atom_site_type_symbol
_atom_site_fract_x
_atom_site_fract_y
_atom_site_fract_z
_atom_site_occupancy
Y1 Y 0.000 0.000 0.000 1
Er1 Er 0.000 0.500 0.500 1
Pb1 Pb 0.500 0.500 0.000 1
C1 C 0.000 0.000 0.500 1
# E_tot in eV/atom: -6.2676
# DOS at the Fermi energy in states/eV per cell: 2.15
# E_form in eV per atom: -0.563


Entry 7:
# PBE-GGA Pr2CuSb3, relaxed
data_Pr2CuSb3
_cell_length_a 10.219
_cell_length_b 10.219
_cell_length_c 16.832
_cell_angle_alpha 90.00
_cell_angle_beta 90.00
_cell_angle_gamma 90.00
_space_group_name_H-M_alt 'P 4/m m m'
_space_group_IT_number 123
_space_group_name_Hall '-P 4 2'
loop_
_atom_site_label
_atom_site_type_symbol
_atom_site_fract_x
_atom_site_fract_y
_atom_site_fract_z
_atom_site_occupancy
Pr1 Pr 0.000 0.000 0.165 1
Cu1 Cu 0.000 0.000 0.000 1
Sb1 Sb 0.000 0.000 0.332 1
Sb2 Sb 0.000 0.000 0.500 1
# E_tot in eV/atom: -2.8340
# DOS at the Fermi energy in states/eV per cell: 6.96


Entry 8:
# PBE-GGA ZnAs7, relaxed
data_ZnAs7
_cell_length_a 8.496
_cell_length_b 8.496
_cell_length_c 8.496
_cell_angle_alpha 90.00
_cell_angle_beta 90.00
_cell_angle_gamma 90.00
_space_group_name_H-M_alt 'F m -3 m'
_space_group_IT_number 225
_space_group_name_Hall '-F 4 2 3'
loop_
_atom_site_label
_atom_site_type_symbol
_atom_site_fract_x
_atom_site_fract_y
_atom_site_fract_z
_atom_site_occupancy
Zn1 Zn 0.000 0.000 0.000 1
As1 As 0.000 0.000 0.500 1
As2 As 0.000 0.250 0.250 1
# E_tot in eV/atom: -3.7637
# DOS at the Fermi energy in states/eV per cell: 16.09
# E_form in eV per atom: 0.464